1 | # Na5Hg4Sb (PBE, relaxed)
# Magnetic moment = 0.00 μB/cell
data_Na5Hg4Sb
_chemical_formula_sum 'Na5 Hg4 Sb1'
_cell_length_a 3.665
_cell_length_b 3.665
_cell_length_c 19.495
_cell_angle_alpha 90.00
_cell_angle_beta 90.00
_cell_angle_gamma 90.00
_symmetry_space_group_name_H-M 'P 4/m m m'
_symmetry_Int_Tables_number 123
_symmetry_space_group_name_Hall '-P 4 2'
loop_
_atom_site_label
_atom_site_type_symbol
_atom_site_fract_x
_atom_site_fract_y
_atom_site_fract_z
Na1 Na 0.000 0.000 0.000
Na2 Na 0.000 0.000 0.195
Na3 Na 0.000 0.000 0.398
Hg1 Hg 0.500 0.500 0.097
Hg2 Hg 0.500 0.500 0.292
Sb1 Sb 0.500 0.500 0.500

***

2 | # Na5Hg4Sb (PBE, relaxed)
# Magnetic moment = 0.00 μB/cell
data_Na5Hg4Sb
_chemical_formula_sum 'Na10 Hg8 Sb2'
_cell_length_a 9.158
_cell_length_b 5.240
_cell_length_c 11.827
_cell_angle_alpha 90.00
_cell_angle_beta 104.49
_cell_angle_gamma 90.00
_symmetry_space_group_name_H-M 'C 1 m 1'
_symmetry_Int_Tables_number 8
_symmetry_space_group_name_Hall 'C -2y'
loop_
_atom_site_label
_atom_site_type_symbol
_atom_site_fract_x
_atom_site_fract_y
_atom_site_fract_z
Na1 Na 0.000 0.000 0.000
Na2 Na 0.028 0.500 0.572
Na3 Na 0.121 0.500 0.860
Na4 Na 0.213 0.500 0.141
Na5 Na 0.431 0.000 0.289
Hg1 Hg 0.141 0.000 0.415
Hg2 Hg 0.241 0.000 0.720
Hg3 Hg 0.312 0.500 0.424
Hg4 Hg 0.405 0.500 0.706
Sb1 Sb 0.337 0.000 0.014

***

Structures ranked by computed energy, the most stable listed first: 2, 1.

***

1 | # Na3HgSb2 (PBE, relaxed)
# Magnetic moment = 0.00 μB/cell
data_Na3HgSb2
_chemical_formula_sum 'Na12 Hg4 Sb8'
_cell_length_a 9.101
_cell_length_b 9.382
_cell_length_c 10.268
_cell_angle_alpha 90.00
_cell_angle_beta 123.76
_cell_angle_gamma 90.00
_symmetry_space_group_name_H-M 'P 1 21/c 1'
_symmetry_Int_Tables_number 14
_symmetry_space_group_name_Hall '-P 2ybc'
loop_
_atom_site_label
_atom_site_type_symbol
_atom_site_fract_x
_atom_site_fract_y
_atom_site_fract_z
Na1 Na 0.082 0.107 0.196
Na2 Na 0.266 0.024 0.823
Na3 Na 0.333 0.651 0.006
Hg1 Hg 0.310 0.239 0.576
Sb1 Sb 0.078 0.733 0.636
Sb2 Sb 0.399 0.561 0.708

***

2 | # Na3HgSb2 (PBE, relaxed)
# Magnetic moment = 0.00 μB/cell
data_Na3HgSb2
_chemical_formula_sum 'Na12 Hg4 Sb8'
_cell_length_a 6.430
_cell_length_b 12.575
_cell_length_c 9.413
_cell_angle_alpha 90.00
_cell_angle_beta 90.00
_cell_angle_gamma 90.00
_symmetry_space_group_name_H-M 'I b a m'
_symmetry_Int_Tables_number 72
_symmetry_space_group_name_Hall '-I 2 2c'
loop_
_atom_site_label
_atom_site_type_symbol
_atom_site_fract_x
_atom_site_fract_y
_atom_site_fract_z
Na1 Na 0.000 0.000 0.250
Na2 Na 0.000 0.299 0.250
Hg1 Hg 0.000 0.500 0.000
Sb1 Sb 0.176 0.145 0.000

***

Structures ranked by computed energy, the most stable listed first: 1, 2.

***

1 | # Na2Hg4Sb (PBE, relaxed)
# Magnetic moment = 0.00 μB/cell
data_Na2Hg4Sb
_chemical_formula_sum 'Na4 Hg8 Sb2'
_cell_length_a 5.778
_cell_length_b 5.778
_cell_length_c 15.764
_cell_angle_alpha 90.00
_cell_angle_beta 90.00
_cell_angle_gamma 90.00
_symmetry_space_group_name_H-M 'I 4/m m m'
_symmetry_Int_Tables_number 139
_symmetry_space_group_name_Hall '-I 4 2'
loop_
_atom_site_label
_atom_site_type_symbol
_atom_site_fract_x
_atom_site_fract_y
_atom_site_fract_z
Na1 Na 0.000 0.000 0.107
Hg1 Hg 0.000 0.000 0.296
Hg2 Hg 0.000 0.500 0.000
Sb1 Sb 0.000 0.000 0.500

***

2 | # Na2Hg4Sb (PBE, relaxed)
# Magnetic moment = 0.00 μB/cell
data_Na2Hg4Sb
_chemical_formula_sum 'Na8 Hg16 Sb4'
_cell_length_a 12.254
_cell_length_b 6.059
_cell_length_c 10.665
_cell_angle_alpha 90.00
_cell_angle_beta 90.00
_cell_angle_gamma 90.00
_symmetry_space_group_name_H-M 'C m c e'
_symmetry_Int_Tables_number 64
_symmetry_space_group_name_Hall '-C 2ac 2'
loop_
_atom_site_label
_atom_site_type_symbol
_atom_site_fract_x
_atom_site_fract_y
_atom_site_fract_z
Na1 Na 0.146 0.000 0.000
Hg1 Hg 0.000 0.212 0.237
Hg2 Hg 0.250 0.247 0.750
Sb1 Sb 0.000 0.000 0.500

***

Structures ranked by computed energy, the most stable listed first: 2, 1.

***

1 | # NaHgSb4 (PBE, relaxed)
# Magnetic moment = 0.00 μB/cell
data_NaHgSb4
_chemical_formula_sum 'Na4 Hg4 Sb16'
_cell_length_a 9.101
_cell_length_b 9.101
_cell_length_c 9.101
_cell_angle_alpha 90.00
_cell_angle_beta 90.00
_cell_angle_gamma 90.00
_symmetry_space_group_name_H-M 'F -4 3 m'
_symmetry_Int_Tables_number 216
_symmetry_space_group_name_Hall 'F -4 2 3'
loop_
_atom_site_label
_atom_site_type_symbol
_atom_site_fract_x
_atom_site_fract_y
_atom_site_fract_z
Na1 Na 0.000 0.000 0.000
Hg1 Hg 0.250 0.250 0.750
Sb1 Sb 0.118 0.118 0.382

***

2 | # NaHgSb4 (PBE, relaxed)
# Magnetic moment = 0.00 μB/cell
data_NaHgSb4
_chemical_formula_sum 'Na1 Hg1 Sb4'
_cell_length_a 4.187
_cell_length_b 6.548
_cell_length_c 7.622
_cell_angle_alpha 115.00
_cell_angle_beta 105.67
_cell_angle_gamma 90.62
_symmetry_space_group_name_H-M 'P -1'
_symmetry_Int_Tables_number 2
_symmetry_space_group_name_Hall '-P 1'
loop_
_atom_site_label
_atom_site_type_symbol
_atom_site_fract_x
_atom_site_fract_y
_atom_site_fract_z
Na1 Na 0.000 0.000 0.000
Hg1 Hg 0.000 0.500 0.000
Sb1 Sb 0.328 0.550 0.659
Sb2 Sb 0.330 0.106 0.658

***

Structures ranked by computed energy, the most stable listed first: 2, 1.

***

1 | # NaHgSbTe2 (PBE, relaxed)
# Magnetic moment = 0.00 μB/cell
data_NaHgSbTe2
_chemical_formula_sum 'Na1 Hg1 Sb1 Te2'
_cell_length_a 5.554
_cell_length_b 5.554
_cell_length_c 5.558
_cell_angle_alpha 90.00
_cell_angle_beta 90.00
_cell_angle_gamma 90.00
_symmetry_space_group_name_H-M 'P 4/m m m'
_symmetry_Int_Tables_number 123
_symmetry_space_group_name_Hall '-P 4 2'
loop_
_atom_site_label
_atom_site_type_symbol
_atom_site_fract_x
_atom_site_fract_y
_atom_site_fract_z
Na1 Na 0.000 0.000 0.000
Hg1 Hg 0.500 0.500 0.500
Sb1 Sb 0.000 0.000 0.500
Te1 Te 0.000 0.500 0.000

***

2 | # NaHgSbTe2 (PBE, relaxed)
# Magnetic moment = 0.00 μB/cell
data_NaHgSbTe2
_chemical_formula_sum 'Na1 Hg1 Sb1 Te2'
_cell_length_a 5.851
_cell_length_b 5.851
_cell_length_c 5.481
_cell_angle_alpha 90.00
_cell_angle_beta 90.00
_cell_angle_gamma 90.00
_symmetry_space_group_name_H-M 'P 4/m m m'
_symmetry_Int_Tables_number 123
_symmetry_space_group_name_Hall '-P 4 2'
loop_
_atom_site_label
_atom_site_type_symbol
_atom_site_fract_x
_atom_site_fract_y
_atom_site_fract_z
Na1 Na 0.000 0.000 0.000
Hg1 Hg 0.500 0.500 0.500
Sb1 Sb 0.500 0.500 0.000
Te1 Te 0.000 0.500 0.500

***

Structures ranked by computed energy, the most stable listed first: 2, 1.

***

1 | # NaSc3Hg (PBE, relaxed)
# Magnetic moment = 1.97 μB/cell
data_NaSc3Hg
_chemical_formula_sum 'Na1 Sc3 Hg1'
_cell_length_a 5.412
_cell_length_b 5.412
_cell_length_c 5.412
_cell_angle_alpha 90.00
_cell_angle_beta 90.00
_cell_angle_gamma 90.00
_symmetry_space_group_name_H-M 'P m -3 m'
_symmetry_Int_Tables_number 221
_symmetry_space_group_name_Hall '-P 4 2 3'
loop_
_atom_site_label
_atom_site_type_symbol
_atom_site_fract_x
_atom_site_fract_y
_atom_site_fract_z
Na1 Na 0.000 0.000 0.000
Sc1 Sc 0.000 0.500 0.500
Hg1 Hg 0.500 0.500 0.500

***

2 | # NaSc3Hg (PBE, relaxed)
# Magnetic moment = 2.00 μB/cell
data_NaSc3Hg
_chemical_formula_sum 'Na1 Sc3 Hg1'
_cell_length_a 5.143
_cell_length_b 5.143
_cell_length_c 5.143
_cell_angle_alpha 90.00
_cell_angle_beta 90.00
_cell_angle_gamma 90.00
_symmetry_space_group_name_H-M 'P m -3 m'
_symmetry_Int_Tables_number 221
_symmetry_space_group_name_Hall '-P 4 2 3'
loop_
_atom_site_label
_atom_site_type_symbol
_atom_site_fract_x
_atom_site_fract_y
_atom_site_fract_z
Na1 Na 0.000 0.000 0.000
Sc1 Sc 0.000 0.000 0.500
Hg1 Hg 0.500 0.500 0.500

***

Structures ranked by computed energy, the most stable listed first: 1, 2.

***

1 | # Na3ScHg (PBE, relaxed)
# Magnetic moment = 0.88 μB/cell
data_Na3ScHg
_chemical_formula_sum 'Na3 Sc1 Hg1'
_cell_length_a 5.619
_cell_length_b 5.619
_cell_length_c 5.619
_cell_angle_alpha 90.00
_cell_angle_beta 90.00
_cell_angle_gamma 90.00
_symmetry_space_group_name_H-M 'P m -3 m'
_symmetry_Int_Tables_number 221
_symmetry_space_group_name_Hall '-P 4 2 3'
loop_
_atom_site_label
_atom_site_type_symbol
_atom_site_fract_x
_atom_site_fract_y
_atom_site_fract_z
Na1 Na 0.000 0.000 0.500
Sc1 Sc 0.500 0.500 0.500
Hg1 Hg 0.000 0.000 0.000

***

2 | # Na3ScHg (PBE, relaxed)
# Magnetic moment = 1.40 μB/cell
data_Na3ScHg
_chemical_formula_sum 'Na3 Sc1 Hg1'
_cell_length_a 6.468
_cell_length_b 6.468
_cell_length_c 6.468
_cell_angle_alpha 90.00
_cell_angle_beta 90.00
_cell_angle_gamma 90.00
_symmetry_space_group_name_H-M 'P m -3 m'
_symmetry_Int_Tables_number 221
_symmetry_space_group_name_Hall '-P 4 2 3'
loop_
_atom_site_label
_atom_site_type_symbol
_atom_site_fract_x
_atom_site_fract_y
_atom_site_fract_z
Na1 Na 0.000 0.000 0.500
Sc1 Sc 0.000 0.000 0.000
Hg1 Hg 0.500 0.500 0.500

***

Structures ranked by computed energy, the most stable listed first: 1, 2.

***

1 | # NaScTlHg (PBE, relaxed)
# Magnetic moment = 0.00 μB/cell
data_NaScTlHg
_chemical_formula_sum 'Na1 Sc1 Tl1 Hg1'
_cell_length_a 3.602
_cell_length_b 3.602
_cell_length_c 7.512
_cell_angle_alpha 90.00
_cell_angle_beta 90.00
_cell_angle_gamma 90.00
_symmetry_space_group_name_H-M 'P 4 m m'
_symmetry_Int_Tables_number 99
_symmetry_space_group_name_Hall 'P 4 -2'
loop_
_atom_site_label
_atom_site_type_symbol
_atom_site_fract_x
_atom_site_fract_y
_atom_site_fract_z
Na1 Na 0.000 0.000 0.000
Sc1 Sc 0.000 0.000 0.524
Tl1 Tl 0.500 0.500 0.278
Hg1 Hg 0.500 0.500 0.738

***

2 | # NaScTlHg (PBE, relaxed)
# Magnetic moment = 0.00 μB/cell
data_NaScTlHg
_chemical_formula_sum 'Na4 Sc4 Tl4 Hg4'
_cell_length_a 7.207
_cell_length_b 7.207
_cell_length_c 7.207
_cell_angle_alpha 90.00
_cell_angle_beta 90.00
_cell_angle_gamma 90.00
_symmetry_space_group_name_H-M 'F -4 3 m'
_symmetry_Int_Tables_number 216
_symmetry_space_group_name_Hall 'F -4 2 3'
loop_
_atom_site_label
_atom_site_type_symbol
_atom_site_fract_x
_atom_site_fract_y
_atom_site_fract_z
Na1 Na 0.000 0.000 0.000
Sc1 Sc 0.000 0.000 0.500
Tl1 Tl 0.250 0.250 0.250
Hg1 Hg 0.250 0.250 0.750

***

Structures ranked by computed energy, the most stable listed first: 1, 2.

***

1 | # NaHg3Se (PBE, relaxed)
# Magnetic moment = 1.05 μB/cell
data_NaHg3Se
_chemical_formula_sum 'Na1 Hg3 Se1'
_cell_length_a 5.653
_cell_length_b 5.653
_cell_length_c 5.653
_cell_angle_alpha 90.00
_cell_angle_beta 90.00
_cell_angle_gamma 90.00
_symmetry_space_group_name_H-M 'P m -3 m'
_symmetry_Int_Tables_number 221
_symmetry_space_group_name_Hall '-P 4 2 3'
loop_
_atom_site_label
_atom_site_type_symbol
_atom_site_fract_x
_atom_site_fract_y
_atom_site_fract_z
Na1 Na 0.000 0.000 0.000
Hg1 Hg 0.000 0.000 0.500
Se1 Se 0.500 0.500 0.500

***

2 | # NaHg3Se (PBE, relaxed)
# Magnetic moment = 0.00 μB/cell
data_NaHg3Se
_chemical_formula_sum 'Na1 Hg3 Se1'
_cell_length_a 5.604
_cell_length_b 5.604
_cell_length_c 5.604
_cell_angle_alpha 90.00
_cell_angle_beta 90.00
_cell_angle_gamma 90.00
_symmetry_space_group_name_H-M 'P m -3 m'
_symmetry_Int_Tables_number 221
_symmetry_space_group_name_Hall '-P 4 2 3'
loop_
_atom_site_label
_atom_site_type_symbol
_atom_site_fract_x
_atom_site_fract_y
_atom_site_fract_z
Na1 Na 0.000 0.000 0.000
Hg1 Hg 0.000 0.500 0.500
Se1 Se 0.500 0.500 0.500

***

Structures ranked by computed energy, the most stable listed first: 2, 1.

***

1 | # Na2HgSe2 (PBE, relaxed)
# Magnetic moment = 0.00 μB/cell
data_Na2HgSe2
_chemical_formula_sum 'Na4 Hg2 Se4'
_cell_length_a 5.549
_cell_length_b 5.549
_cell_length_c 9.130
_cell_angle_alpha 90.00
_cell_angle_beta 90.00
_cell_angle_gamma 90.00
_symmetry_space_group_name_H-M 'I 4/m m m'
_symmetry_Int_Tables_number 139
_symmetry_space_group_name_Hall '-I 4 2'
loop_
_atom_site_label
_atom_site_type_symbol
_atom_site_fract_x
_atom_site_fract_y
_atom_site_fract_z
Na1 Na 0.000 0.500 0.250
Hg1 Hg 0.000 0.000 0.000
Se1 Se 0.000 0.000 0.366

***

2 | # Na2HgSe2 (PBE, relaxed)
# Magnetic moment = 0.00 μB/cell
data_Na2HgSe2
_chemical_formula_sum 'Na8 Hg4 Se8'
_cell_length_a 9.891
_cell_length_b 11.386
_cell_length_c 6.852
_cell_angle_alpha 90.00
_cell_angle_beta 133.65
_cell_angle_gamma 90.00
_symmetry_space_group_name_H-M 'C 1 2/c 1'
_symmetry_Int_Tables_number 15
_symmetry_space_group_name_Hall '-C 2yc'
loop_
_atom_site_label
_atom_site_type_symbol
_atom_site_fract_x
_atom_site_fract_y
_atom_site_fract_z
Na1 Na 0.147 0.134 0.146
Hg1 Hg 0.000 0.499 0.250
Se1 Se 0.233 0.381 0.232

***

3 | # Na2HgSe2 (PBE, relaxed)
# Magnetic moment = 0.00 μB/cell
data_Na2HgSe2
_chemical_formula_sum 'Na4 Hg2 Se4'
_cell_length_a 7.709
_cell_length_b 7.709
_cell_length_c 4.230
_cell_angle_alpha 90.00
_cell_angle_beta 90.00
_cell_angle_gamma 90.00
_symmetry_space_group_name_H-M 'P 4/m b m'
_symmetry_Int_Tables_number 127
_symmetry_space_group_name_Hall '-P 4 2ab'
loop_
_atom_site_label
_atom_site_type_symbol
_atom_site_fract_x
_atom_site_fract_y
_atom_site_fract_z
Na1 Na 0.139 0.361 0.000
Hg1 Hg 0.000 0.000 0.500
Se1 Se 0.175 0.675 0.500

***

4 | # Na2HgSe2 (PBE, relaxed)
# Magnetic moment = 0.00 μB/cell
data_Na2HgSe2
_chemical_formula_sum 'Na8 Hg4 Se8'
_cell_length_a 14.082
_cell_length_b 5.571
_cell_length_c 7.599
_cell_angle_alpha 90.00
_cell_angle_beta 103.43
_cell_angle_gamma 90.00
_symmetry_space_group_name_H-M 'C 1 2/m 1'
_symmetry_Int_Tables_number 12
_symmetry_space_group_name_Hall '-C 2y'
loop_
_atom_site_label
_atom_site_type_symbol
_atom_site_fract_x
_atom_site_fract_y
_atom_site_fract_z
Na1 Na 0.090 0.000 0.296
Na2 Na 0.091 0.500 0.796
Hg1 Hg 0.250 0.000 0.750
Se1 Se 0.117 0.500 0.418
Se2 Se 0.118 0.000 0.918

***

Structures ranked by computed energy, the most stable listed first: 4, 2, 1, 3.

***

1 | # NaHg2Se2 (PBE, relaxed)
# Magnetic moment = 0.03 μB/cell
data_NaHg2Se2
_chemical_formula_sum 'Na4 Hg8 Se8'
_cell_length_a 10.063
_cell_length_b 13.761
_cell_length_c 5.615
_cell_angle_alpha 90.00
_cell_angle_beta 122.29
_cell_angle_gamma 90.00
_symmetry_space_group_name_H-M 'C 1 2/m 1'
_symmetry_Int_Tables_number 12
_symmetry_space_group_name_Hall '-C 2y'
loop_
_atom_site_label
_atom_site_type_symbol
_atom_site_fract_x
_atom_site_fract_y
_atom_site_fract_z
Na1 Na 0.000 0.149 0.000
Hg1 Hg 0.000 0.357 0.500
Hg2 Hg 0.246 0.500 0.262
Se1 Se 0.000 0.175 0.500
Se2 Se 0.225 0.500 0.743

***

2 | # NaHg2Se2 (PBE, relaxed)
# Magnetic moment = 1.07 μB/cell
data_NaHg2Se2
_chemical_formula_sum 'Na1 Hg2 Se2'
_cell_length_a 4.5586
_cell_length_b 4.5586
_cell_length_c 9.0604
_cell_angle_alpha 90.00
_cell_angle_beta 90.00
_cell_angle_gamma 120.00
_symmetry_space_group_name_H-M 'P -3 m 1'
_symmetry_Int_Tables_number 164
_symmetry_space_group_name_Hall '-P 3 2"'
loop_
_atom_site_label
_atom_site_type_symbol
_atom_site_fract_x
_atom_site_fract_y
_atom_site_fract_z
Na1 Na 0.0000 0.0000 0.0000
Hg1 Hg 0.3333 0.6667 0.4123
Se1 Se 0.3333 0.6667 0.1282

***

Structures ranked by computed energy, the most stable listed first: 1, 2.